Density functional theory data (PBE) for a geometry-optimized LaSb2Pb2 structure.

```
data_LaSb2Pb2
_cell_length_a 8.324
_cell_length_b 8.324
_cell_length_c 4.592
_cell_angle_alpha 90.00
_cell_angle_beta 90.00
_cell_angle_gamma 90.00
_symmetry_space_group_name_H-M 'P 4/m b m'
_symmetry_Int_Tables_number 127
_symmetry_space_group_name_Hall '-P 4 2ab'
loop_
_atom_site_label
_atom_site_type_symbol
_atom_site_fract_x
_atom_site_fract_y
_atom_site_fract_z
_atom_site_occupancy
La1 La 0.000 0.000 0.000 1
Sb1 Sb 0.133 0.367 0.000 1
Pb1 Pb 0.174 0.674 0.500 1
```

Results
For the calculated total energy, the calculation gives -4.432 eV/atom. The energy relative to the elements, uncorrected is -0.314 eV per atom. The calculation puts the total moment at 0.0 μB/f.u.

---

Density functional theory data (PBE) for a geometry-optimized Ca3CrTe structure.

```
data_Ca3CrTe
_cell_length_a 5.690
_cell_length_b 5.690
_cell_length_c 5.690
_cell_angle_alpha 90.00
_cell_angle_beta 90.00
_cell_angle_gamma 90.00
_symmetry_space_group_name_H-M 'P m -3 m'
_symmetry_Int_Tables_number 221
_symmetry_space_group_name_Hall '-P 4 2 3'
loop_
_atom_site_label
_atom_site_type_symbol
_atom_site_fract_x
_atom_site_fract_y
_atom_site_fract_z
_atom_site_occupancy
Ca1 Ca 0.000 0.000 0.500 1
Cr1 Cr 0.000 0.000 0.000 1
Te1 Te 0.500 0.500 0.500 1
```

Results
Its offset from the most stable computed form is 0 meV/atom. For the calculated total energy, the calculation gives -3.513 eV/atom. The energy relative to the elements, uncorrected is 0.241 eV per atom. The calculation puts the total moment at 5.1 μB/f.u.